[1]
A plane-wave DFT calculation with GGA-PBE was carried out for Ba2LiCdSe after structural relaxation.

Summary:
The energy relative to the elements, uncorrected is -0.776 eV/atom. As for the total magnetization: 0.4 μB/f.u. The value obtained for the density of states at the Fermi level is 5.2 states/eV/f.u.

Cell: 6.412 6.412 4.758 Å, 90.00 90.00 90.00°
Positions (direct):
Ba 0.000 0.500 0.000
Ba 0.500 0.000 0.000
Li 0.000 0.000 0.500
Cd 0.500 0.500 0.500
Se 0.000 0.000 0.000

***

[2]
A plane-wave DFT calculation with GGA-PBE was carried out for Ni2MoPt3 after structural relaxation.

Summary:
The total DFT energy (no corrections) is -6.770 eV/atom. As for the total magnetization: 0.0 μB/f.u. The value obtained for the density of states at the Fermi level is 7.3 states/eV/f.u.

Cell: 9.143 9.143 7.598 Å, 107.75 107.75 17.01°
Positions (direct):
Ni 0.072 0.072 0.152
Ni 0.304 0.304 0.616
Ni 0.696 0.696 0.384
Ni 0.928 0.928 0.848
Mo 0.330 0.330 0.949
Mo 0.670 0.670 0.051
Pt 0.062 0.062 0.790
Pt 0.296 0.296 0.260
Pt 0.432 0.432 0.547
Pt 0.568 0.568 0.453
Pt 0.704 0.704 0.740
Pt 0.938 0.938 0.210

***

[3]
A plane-wave DFT calculation with GGA-PBE was carried out for NaTlIn after structural relaxation.

Summary:
The total DFT energy (no corrections) is -2.130 eV/atom. As for the total magnetization: 0.0 μB/f.u. The value obtained for the density of states at the Fermi level is 1.7 states/eV/f.u.

Cell: 3.306 3.405 15.557 Å, 90.00 90.00 90.00°
Positions (direct):
Na 0.000 0.000 0.000
Na 0.500 0.500 0.500
Tl 0.000 0.000 0.654
Tl 0.500 0.500 0.154
In 0.000 0.500 0.823
In 0.500 0.000 0.323